(1)
# Hf2CrHPd PBE relaxed
data_Hf2CrHPd
_chemical_formula_sum 'Hf2 Cr1 H1 Pd1'
_symmetry_space_group_name_H-M 'P 4/m m m'
_symmetry_Int_Tables_number 123
_symmetry_space_group_name_Hall '-P 4 2'
_cell_length_a 4.573
_cell_length_b 4.573
_cell_length_c 3.402
_cell_angle_alpha 90.00
_cell_angle_beta 90.00
_cell_angle_gamma 90.00
loop_
_atom_site_label
_atom_site_type_symbol
_atom_site_fract_x
_atom_site_fract_y
_atom_site_fract_z
_atom_site_occupancy
Hf1 Hf 0.000 0.500 0.000 1
Cr1 Cr 0.000 0.000 0.500 1
H1 H 0.000 0.000 0.000 1
Pd1 Pd 0.500 0.500 0.500 1
# M_tot = 0.0000 μB per atom
# volume = 14.23 A^3/atom
# theoretical density = 12.052 Mg/m³
# energy = -7.909 eV/atom

(2)
# HfCrHRh2 PBE relaxed
data_HfCrHRh2
_chemical_formula_sum 'Hf1 Cr1 H1 Rh2'
_symmetry_space_group_name_H-M 'P 4/m m m'
_symmetry_Int_Tables_number 123
_symmetry_space_group_name_Hall '-P 4 2'
_cell_length_a 4.073
_cell_length_b 4.073
_cell_length_c 3.851
_cell_angle_alpha 90.00
_cell_angle_beta 90.00
_cell_angle_gamma 90.00
loop_
_atom_site_label
_atom_site_type_symbol
_atom_site_fract_x
_atom_site_fract_y
_atom_site_fract_z
_atom_site_occupancy
Hf1 Hf 0.000 0.000 0.000 1
Cr1 Cr 0.500 0.500 0.000 1
H1 H 0.500 0.500 0.500 1
Rh1 Rh 0.000 0.500 0.500 1
# M_tot = 0.6391 μB per atom
# volume = 12.78 A^3/atom
# theoretical density = 11.366 Mg/m³
# energy = -7.948 eV/atom

(3)
# HfCrHRh2 PBE relaxed
data_HfCrHRh2
_chemical_formula_sum 'Hf1 Cr1 H1 Rh2'
_symmetry_space_group_name_H-M 'P 4/m m m'
_symmetry_Int_Tables_number 123
_symmetry_space_group_name_Hall '-P 4 2'
_cell_length_a 4.004
_cell_length_b 4.004
_cell_length_c 4.021
_cell_angle_alpha 90.00
_cell_angle_beta 90.00
_cell_angle_gamma 90.00
loop_
_atom_site_label
_atom_site_type_symbol
_atom_site_fract_x
_atom_site_fract_y
_atom_site_fract_z
_atom_site_occupancy
Hf1 Hf 0.000 0.000 0.000 1
Cr1 Cr 0.500 0.500 0.000 1
H1 H 0.000 0.000 0.500 1
Rh1 Rh 0.000 0.500 0.500 1
# M_tot = 0.6045 μB per atom
# volume = 12.90 A^3/atom
# theoretical density = 11.261 Mg/m³
# energy = -7.856 eV/atom

(4)
# HfCrHRu2 PBE relaxed
data_HfCrHRu2
_chemical_formula_sum 'Hf1 Cr1 H1 Ru2'
_symmetry_space_group_name_H-M 'P 4/m m m'
_symmetry_Int_Tables_number 123
_symmetry_space_group_name_Hall '-P 4 2'
_cell_length_a 4.177
_cell_length_b 4.177
_cell_length_c 3.646
_cell_angle_alpha 90.00
_cell_angle_beta 90.00
_cell_angle_gamma 90.00
loop_
_atom_site_label
_atom_site_type_symbol
_atom_site_fract_x
_atom_site_fract_y
_atom_site_fract_z
_atom_site_occupancy
Hf1 Hf 0.000 0.000 0.000 1
Cr1 Cr 0.500 0.500 0.000 1
H1 H 0.500 0.500 0.500 1
Ru1 Ru 0.000 0.500 0.500 1
# M_tot = 0.5750 μB per atom
# volume = 12.73 A^3/atom
# theoretical density = 11.316 Mg/m³
# energy = -8.490 eV/atom

(5)
# HfTaCr2H PBE relaxed
data_HfTaCr2H
_chemical_formula_sum 'Hf1 Ta1 Cr2 H1'
_symmetry_space_group_name_H-M 'P 4/m m m'
_symmetry_Int_Tables_number 123
_symmetry_space_group_name_Hall '-P 4 2'
_cell_length_a 4.441
_cell_length_b 4.441
_cell_length_c 5.302
_cell_angle_alpha 90.00
_cell_angle_beta 90.00
_cell_angle_gamma 90.00
loop_
_atom_site_label
_atom_site_type_symbol
_atom_site_fract_x
_atom_site_fract_y
_atom_site_fract_z
_atom_site_occupancy
Hf1 Hf 0.000 0.000 0.000 1
Ta1 Ta 0.000 0.000 0.500 1
Cr1 Cr 0.000 0.500 0.500 1
H1 H 0.500 0.500 0.000 1
# M_tot = 0.0001 μB per atom
# volume = 20.91 A^3/atom
# theoretical density = 7.377 Mg/m³
# energy = -6.692 eV/atom

(6)
# HfCr2TeH PBE relaxed
data_HfCr2TeH
_chemical_formula_sum 'Hf1 Cr2 Te1 H1'
_symmetry_space_group_name_H-M 'P 4/m m m'
_symmetry_Int_Tables_number 123
_symmetry_space_group_name_Hall '-P 4 2'
_cell_length_a 4.149
_cell_length_b 4.149
_cell_length_c 4.005
_cell_angle_alpha 90.00
_cell_angle_beta 90.00
_cell_angle_gamma 90.00
loop_
_atom_site_label
_atom_site_type_symbol
_atom_site_fract_x
_atom_site_fract_y
_atom_site_fract_z
_atom_site_occupancy
Hf1 Hf 0.000 0.000 0.000 1
Cr1 Cr 0.000 0.500 0.500 1
Te1 Te 0.500 0.500 0.000 1
H1 H 0.000 0.000 0.500 1
# M_tot = 0.7113 μB per atom
# volume = 13.79 A^3/atom
# theoretical density = 9.899 Mg/m³
# energy = -7.011 eV/atom

(7)
# CrHg2H PBE relaxed
data_CrHg2H
_chemical_formula_sum 'Cr4 Hg8 H4'
_symmetry_space_group_name_H-M 'I -4 2 d'
_symmetry_Int_Tables_number 122
_symmetry_space_group_name_Hall 'I -4 2bw'
_cell_length_a 6.817
_cell_length_b 6.817
_cell_length_c 5.930
_cell_angle_alpha 90.00
_cell_angle_beta 90.00
_cell_angle_gamma 90.00
loop_
_atom_site_label
_atom_site_type_symbol
_atom_site_fract_x
_atom_site_fract_y
_atom_site_fract_z
_atom_site_occupancy
Cr1 Cr 0.000 0.000 0.000 1
Hg1 Hg 0.183 0.750 0.625 1
H1 H 0.000 0.000 0.500 1
# M_tot = 1.0723 μB per atom
# volume = 17.23 A^3/atom
# theoretical density = 10.946 Mg/m³
# energy = -2.795 eV/atom

(8)
# CrHg3H PBE relaxed
data_CrHg3H
_chemical_formula_sum 'Cr1 Hg3 H1'
_symmetry_space_group_name_H-M 'P m -3 m'
_symmetry_Int_Tables_number 221
_symmetry_space_group_name_Hall '-P 4 2 3'
_cell_length_a 5.412
_cell_length_b 5.412
_cell_length_c 5.412
_cell_angle_alpha 90.00
_cell_angle_beta 90.00
_cell_angle_gamma 90.00
loop_
_atom_site_label
_atom_site_type_symbol
_atom_site_fract_x
_atom_site_fract_y
_atom_site_fract_z
_atom_site_occupancy
Cr1 Cr 0.000 0.000 0.000 1
Hg1 Hg 0.000 0.000 0.500 1
H1 H 0.500 0.500 0.500 1
# M_tot = 1.0746 μB per atom
# volume = 31.70 A^3/atom
# theoretical density = 6.861 Mg/m³
# energy = -1.988 eV/atom

(9)
# Cr2HgH PBE relaxed
data_Cr2HgH
_chemical_formula_sum 'Cr8 Hg4 H4'
_symmetry_space_group_name_H-M 'I 41/a m d'
_symmetry_Int_Tables_number 141
_cell_length_a 4.821
_cell_length_b 4.821
_cell_length_c 8.705
_cell_angle_alpha 90.00
_cell_angle_beta 90.00
_cell_angle_gamma 90.00
loop_
_symmetry_equiv_pos_as_xyz
'x,y,z'
'-x,-y,-z'
'-y+1/4,x+3/4,z+1/4'
'y+1/4,-x+3/4,-z+1/4'
'-x+1/2,-y,z+1/2'
'x+1/2,y,-z+1/2'
'y+1/4,-x+1/4,z+3/4'
'-y+1/4,x+1/4,-z+3/4'
'x,-y,-z'
'-x,y,z'
'-y+1/4,-x+1/4,-z+3/4'
'y+1/4,x+1/4,z+3/4'
'-x+1/2,y,-z+1/2'
'x+1/2,-y,z+1/2'
'y+1/4,x+3/4,-z+1/4'
'-y+1/4,-x+3/4,z+1/4'
'x+1/2,y+1/2,z+1/2'
'-x+1/2,-y+1/2,-z+1/2'
'-y+3/4,x+1/4,z+3/4'
'y+3/4,-x+1/4,-z+3/4'
'-x,-y+1/2,z'
'x,y+1/2,-z'
'y+3/4,-x+3/4,z+1/4'
'-y+3/4,x+3/4,-z+1/4'
'x+1/2,-y+1/2,-z+1/2'
'-x+1/2,y+1/2,z+1/2'
'-y+3/4,-x+3/4,-z+1/4'
'y+3/4,x+3/4,z+1/4'
'-x,y+1/2,-z'
'x,-y+1/2,z'
'y+3/4,x+1/4,-z+3/4'
'-y+3/4,-x+1/4,z+3/4'
loop_
_atom_site_label
_atom_site_type_symbol
_atom_site_fract_x
_atom_site_fract_y
_atom_site_fract_z
_atom_site_occupancy
Cr1 Cr 0.000 0.000 0.000 1
Hg1 Hg 0.000 0.250 0.375 1
H1 H 0.000 0.250 0.875 1
# M_tot = 0.0016 μB per atom
# volume = 12.64 A^3/atom
# theoretical density = 10.034 Mg/m³
# energy = -5.082 eV/atom

(10)
# Cr2HgH2 PBE relaxed
data_Cr2HgH2
_chemical_formula_sum 'Cr4 Hg2 H4'
_symmetry_space_group_name_H-M 'P 4/m b m'
_symmetry_Int_Tables_number 127
_symmetry_space_group_name_Hall '-P 4 2ab'
_cell_length_a 6.252
_cell_length_b 6.252
_cell_length_c 2.741
_cell_angle_alpha 90.00
_cell_angle_beta 90.00
_cell_angle_gamma 90.00
loop_
_atom_site_label
_atom_site_type_symbol
_atom_site_fract_x
_atom_site_fract_y
_atom_site_fract_z
_atom_site_occupancy
Cr1 Cr 0.113 0.387 0.000 1
Hg1 Hg 0.000 0.000 0.500 1
H1 H 0.104 0.604 0.500 1
# M_tot = 0.0000 μB per atom
# volume = 10.72 A^3/atom
# theoretical density = 9.503 Mg/m³
# energy = -4.674 eV/atom

(11)
# CrHg2H PBE relaxed
data_CrHg2H
_chemical_formula_sum 'Cr4 Hg8 H4'
_symmetry_space_group_name_H-M 'F m -3 m'
_symmetry_Int_Tables_number 225
_symmetry_space_group_name_Hall '-F 4 2 3'
_cell_length_a 6.625
_cell_length_b 6.625
_cell_length_c 6.625
_cell_angle_alpha 90.00
_cell_angle_beta 90.00
_cell_angle_gamma 90.00
loop_
_atom_site_label
_atom_site_type_symbol
_atom_site_fract_x
_atom_site_fract_y
_atom_site_fract_z
_atom_site_occupancy
Cr1 Cr 0.000 0.000 0.000 1
Hg1 Hg 0.250 0.250 0.250 1
H1 H 0.000 0.000 0.500 1
# M_tot = 1.1883 μB per atom
# volume = 18.18 A^3/atom
# theoretical density = 10.374 Mg/m³
# energy = -2.617 eV/atom

(12)
# CrHg3H PBE relaxed
data_CrHg3H
_chemical_formula_sum 'Cr1 Hg3 H1'
_symmetry_space_group_name_H-M 'P m -3 m'
_symmetry_Int_Tables_number 221
_symmetry_space_group_name_Hall '-P 4 2 3'
_cell_length_a 4.517
_cell_length_b 4.517
_cell_length_c 4.517
_cell_angle_alpha 90.00
_cell_angle_beta 90.00
_cell_angle_gamma 90.00
loop_
_atom_site_label
_atom_site_type_symbol
_atom_site_fract_x
_atom_site_fract_y
_atom_site_fract_z
_atom_site_occupancy
Cr1 Cr 0.000 0.000 0.000 1
Hg1 Hg 0.000 0.500 0.500 1
H1 H 0.500 0.500 0.500 1
# M_tot = 0.8727 μB per atom
# volume = 18.43 A^3/atom
# theoretical density = 11.801 Mg/m³
# energy = -2.154 eV/atom